Record 1
An optimized crystal structure of BaY2Cl, computed with PBE.

a b c (Å): 3.7342 3.7342 10.6827
angles (deg): 90.00 90.00 114.14
Atoms (fractional coordinates):
Ba: 0.0000 0.0000 0.5284
Y: 0.0000 0.0000 0.9728
Y: 0.5000 0.5000 0.2223
Cl: 0.5000 0.5000 0.7765

Output
As for the energy above the lowest structure with this stoichiometry: 29 meV/atom. For the uncorrected energy, the calculation gives -18.975 eV per formula unit. For the uncorrected formation energy, the calculation gives -0.57 eV/atom.

Record 2
An optimized crystal structure of ZrAl2Ru2, computed with PBE.

a b c (Å): 3.1672 3.1311 8.5546
angles (deg): 79.45 90.00 90.00
Atoms (fractional coordinates):
Al: 0.0000 0.1808 0.6385
Ru: 0.5000 0.3976 0.2049
Al: 0.0000 0.8192 0.3615
Ru: 0.5000 0.6024 0.7951
Zr: 0.0000 0.0000 0.0000

Output
As for the energy above the lowest structure with this stoichiometry: 92 meV/atom. For the uncorrected energy, the calculation gives -36.948 eV per formula unit. Its formation energy is -472.6 meV/atom.

Record 3
An optimized crystal structure of Ba2CaMn, computed with PBE.

a b c (Å): 5.8293 5.8293 5.8293
angles (deg): 60.00 60.00 60.00
Atoms (fractional coordinates):
Ca: 0.0000 0.0000 0.0000
Ba: 0.2500 0.2500 0.2500
Mn: 0.5000 0.5000 0.5000
Ba: 0.7500 0.7500 0.7500

Output
As for the energy above the lowest structure with this stoichiometry: 658 meV/atom. For the uncorrected energy, the calculation gives -11.101 eV per formula unit. Its formation energy is 979.0 meV/atom.

Record 4
An optimized crystal structure of NiOsRh2, computed with PBE.

a b c (Å): 3.7609 3.7956 3.7956
angles (deg): 90.00 90.00 90.00
Last column: magnetic moment on the atom in μB.
Atoms (fractional coordinates):
Os: 0.5000 0.0000 0.5000  0.15
Ni: 0.5000 0.5000 0.0000  0.30
Rh: 0.0000 0.0000 0.0000  0.17
Rh: 0.0000 0.5000 0.5000  0.17

Output
As for the energy above the lowest structure with this stoichiometry: 139 meV/atom. For the uncorrected energy, the calculation gives -31.010 eV per formula unit. Its formation energy is 176.1 meV/atom.

Record 5
An optimized crystal structure of LaTb6Y2Ho3, computed with PBE.

a b c (Å): 6.1797 6.1797 11.8463
angles (deg): 94.97 94.97 119.97
Atoms (fractional coordinates):
Tb: 0.0850 0.4190 0.2537
Ho: 0.1671 0.8329 0.5000
Ho: 0.5000 0.5000 0.5000
La: 0.0000 0.0000 0.0000
Y: 0.3334 0.6666 0.0000
Tb: 0.2491 0.2491 0.7462
Tb: 0.4190 0.0850 0.2537
Y: 0.6666 0.3334 0.0000
Tb: 0.7509 0.7509 0.2538
Tb: 0.5810 0.9150 0.7463
Ho: 0.8329 0.1671 0.5000
Tb: 0.9150 0.5810 0.7463

Output
For the uncorrected energy, the calculation gives -59.123 eV per formula unit. Its formation energy is 20.6 meV/atom.

Record 6
An optimized crystal structure of RbReNi, computed with PBE.

a b c (Å): 8.8272 3.3856 11.2569
angles (deg): 90.00 90.00 90.00
Atoms (fractional coordinates):
Ni: 0.2939 0.7500 0.9172
Re: 0.9130 0.2500 0.4670
Rb: 0.4444 0.2500 0.6762
Rb: 0.0556 0.7500 0.1762
Ni: 0.7061 0.2500 0.0828
Rb: 0.5556 0.7500 0.3238
Re: 0.4130 0.2500 0.0330
Re: 0.5870 0.7500 0.9670
Ni: 0.2061 0.2500 0.4172
Ni: 0.7939 0.7500 0.5828
Rb: 0.9444 0.2500 0.8238
Re: 0.0870 0.7500 0.5330

Output
As for the energy above the lowest structure with this stoichiometry: 418 meV/atom. For the uncorrected energy, the calculation gives -16.344 eV per formula unit. Its formation energy is 950.9 meV/atom.

Record 7
An optimized crystal structure of Rb4Pu3CoS8, computed with PBE.

a b c (Å): 8.0366 8.9306 8.0343
angles (deg): 116.72 120.01 90.00
Last column: magnetic moment on the atom in μB.
Atoms (fractional coordinates):
Co: 0.0000 0.5000 0.0000  2.31
S: 0.7770 0.3164 0.0393  0.15
S: 0.2623 0.3164 0.0393  0.15
Rb: 0.0000 0.0000 0.0000  0.00
S: 0.2691 0.3072 0.5382  0.11
Pu: 0.5000 0.5000 0.0000  -4.84
S: 0.7377 0.6836 0.9607  0.15
S: 0.2225 0.6833 0.4451  0.15
Rb: 0.5000 0.0000 0.0000  0.01
S: 0.7309 0.6928 0.4618  0.11
Pu: 0.0000 0.5000 0.5000  -4.84
Rb: 0.5000 0.0000 0.5000  0.00
S: 0.7775 0.3167 0.5549  0.15
Rb: 0.0000 0.0000 0.5000  0.00
Pu: 0.5000 0.5000 0.5000  -4.84
S: 0.2230 0.6836 0.9607  0.15

Output
For the uncorrected energy, the calculation gives -107.106 eV per formula unit. For the uncorrected formation energy, the calculation gives -1.26 eV/atom.

Record 8
An optimized crystal structure of B7C3, computed with PBE.

a b c (Å): 4.4455 4.4455 7.3181
angles (deg): 120.58 120.58 36.32
Atoms (fractional coordinates):
B: 0.1546 0.1546 0.0128
B: 0.3985 0.3985 0.5558
B: 0.4921 0.4921 0.8883
C: 0.8027 0.8027 0.4513
B: 0.9495 0.9495 0.0019
C: 0.9813 0.9813 0.2337
C: 0.6155 0.6155 0.7398
B: 0.5854 0.5854 0.3245
B: 0.2288 0.2288 0.8195
B: 0.7916 0.7916 0.2224

Output
As for the energy above the lowest structure with this stoichiometry: 109 meV/atom. For the uncorrected energy, the calculation gives -70.408 eV per formula unit. Its formation energy is 400.6 meV/atom.

Record 9
An optimized crystal structure of Dy6HgBi2, computed with PBE.

a b c (Å): 4.2172 8.5186 8.5181
angles (deg): 120.00 90.00 90.00
Last column: magnetic moment on the atom in μB.
Atoms (fractional coordinates):
Dy: 0.5000 0.5999 0.0000  0.32
Dy: 0.5000 0.0000 0.5999  0.32
Dy: 0.0000 0.7460 0.7460  0.36
Dy: 0.0000 0.0000 0.2540  0.36
Bi: 0.0000 0.3333 0.6666  -0.02
Dy: 0.5000 0.4001 0.4001  0.32
Bi: 0.0000 0.6667 0.3334  -0.02
Dy: 0.0000 0.2541 0.0000  0.36
Hg: 0.5000 0.0000 0.0000  0.04

Output
For the uncorrected energy, the calculation gives -39.994 eV per formula unit. Its formation energy is -479.8 meV/atom.

Record 10
An optimized crystal structure of Cs2AgBr3, computed with PBE.

a b c (Å): 8.0924 8.1541 8.1541
angles (deg): 111.24 90.00 90.00
Atoms (fractional coordinates):
Cs: 0.2316 0.5093 0.8359
Cs: 0.7316 0.4907 0.1641
Cs: 0.2316 0.8359 0.5093
Br: 0.4990 0.8419 0.1263
Br: 0.9990 0.8737 0.1581
Ag: 0.7493 0.9051 0.9051
Br: 0.4990 0.1263 0.8419
Br: 0.9990 0.1581 0.8737
Cs: 0.7316 0.1641 0.4907
Br: 0.3574 0.3773 0.3773
Br: 0.8574 0.6227 0.6227
Ag: 0.2493 0.0949 0.0949

Output
As for the energy above the lowest structure with this stoichiometry: 61 meV/atom. For the uncorrected energy, the calculation gives -17.191 eV per formula unit. For the uncorrected formation energy, the calculation gives -1.27 eV/atom.

Record 11
An optimized crystal structure of Ga2MoRu, computed with PBE.

a b c (Å): 4.4416 4.4416 4.4416
angles (deg): 60.00 60.00 60.00
Last column: magnetic moment on the atom in μB.
Atoms (fractional coordinates):
Ga: 0.2500 0.2500 0.2500  0.01
Ga: 0.7500 0.7500 0.7500  0.01
Ru: 0.5000 0.5000 0.5000  0.45
Mo: 0.0000 0.0000 0.0000  1.63

Output
As for the energy above the lowest structure with this stoichiometry: 75 meV/atom. For the uncorrected energy, the calculation gives -26.155 eV per formula unit. Its formation energy is 1.3 meV/atom.